[1]
Here is a relaxed Tb3Nd7Tm2 crystal from Alexandria via LeMat-Bulk. Energies are from PBE.

Computed properties:
relative energy among the computed polymorphs	0.000	eV/atom
space-group type	No. 10
V	405	Å³ per cell
formation energy	0.074	eV per atom
total magnetic moment	0.00	μB/f.u.

a b c (Å): 6.4682 3.5690 17.6256
angles (deg): 90.00 95.89 90.00
Fractional coordinates of all 12 atoms:
Tb (0.0000, 0.0000, 0.0000)
Tb (0.0451, 0.5000, 0.6601)
Tb (0.9549, 0.5000, 0.3399)
Nd (0.2241, 0.5000, 0.1685)
Nd (0.2429, 0.0000, 0.5064)
Nd (0.2770, 0.0000, 0.8282)
Nd (0.5000, 0.5000, 0.0000)
Nd (0.7230, 0.0000, 0.1718)
Nd (0.7571, 0.0000, 0.4936)
Nd (0.7759, 0.5000, 0.8315)
Tm (0.4400, 0.0000, 0.3300)
Tm (0.5600, 0.0000, 0.6700)


[2]
Here is a relaxed MgTa4Cd crystal from Alexandria via LeMat-Bulk. Energies are from PBE.

Computed properties:
space-group type	No. 216
V	121	Å³ per cell
formation energy	0.444	eV per atom
total magnetic moment	0.00	μB/f.u.

a b c (Å): 5.5551 5.5551 5.5551
angles (deg): 60.00 60.00 60.00
Fractional coordinates of all 6 atoms:
Mg (0.0000, 0.0000, 0.0000)
Ta (0.1221, 0.6260, 0.6260)
Ta (0.6260, 0.1221, 0.6260)
Ta (0.6260, 0.6260, 0.1221)
Ta (0.6260, 0.6260, 0.6260)
Cd (0.2500, 0.2500, 0.2500)


[3]
Here is a relaxed HgTe2P crystal from Alexandria via LeMat-Bulk. Energies are from PBE.

Computed properties:
relative energy among the computed polymorphs	0.058	eV/atom
energy relative to the elements, uncorrected	0.18	eV per atom
space-group type	No. 10
V	115	Å³ per cell
total magnetic moment	0.00	μB/f.u.

a b c (Å): 3.0212 3.8069 9.9675
angles (deg): 90.00 90.34 90.00
Fractional coordinates of all 4 atoms:
Hg (0.0000, 0.0000, 0.0000)
Te (0.0050, 0.5000, 0.7013)
Te (0.9950, 0.5000, 0.2987)
P (0.0000, 0.0000, 0.5000)